[1]
Compound: GdHo2Sb
Source: the Alexandria database
Functional: PBE-GGA
Structure: optimized geometry

Cell lengths 3.608, 3.608, 10.818 Å; angles 80.40, 80.40, 60.00 degrees
Sites, in units of the cell vectors:
Ho1 0.743 0.743 0.770
Ho2 0.257 0.257 0.230
Gd1 0.500 0.500 0.500
Sb1 0.000 0.000 0.000

Output
Energy (eV/cell): -28.43
Excess energy over the best structure of this formula in the dataset (meV/atom): 221
E_form (uncorrected) (kJ/mol of formula units): -104



[2]
Compound: PrPdSe2O6
Source: the Alexandria database
Functional: PBE-GGA
Structure: optimized geometry

Cell lengths 5.356, 5.356, 7.063 Å; angles 67.72, 67.72, 60.00 degrees
Sites, in units of the cell vectors:
O1 0.455 0.737 0.768
O2 0.960 0.545 0.232
O3 0.040 0.455 0.768
O4 0.545 0.263 0.232
O5 0.263 0.960 0.232
O6 0.737 0.040 0.768
Se1 0.784 0.784 0.649
Se2 0.216 0.216 0.351
Pr1 0.000 0.000 0.000
Pd1 0.500 0.500 0.500

Output
Energy (eV/cell): -59.17
E_form (uncorrected) (kJ/mol of formula units): -1204